Entry 1:
First-principles (PBE) data for a relaxed structure of Ca2HoInCl8, as listed in Alexandria via LeMat-Bulk.

a b c (Å): 6.388 8.707 6.631
angles (deg): 90.00 90.42 90.00
Space group P2/m (No. 10)
Unique sites:
Ca1 0.000 0.247 0.000 [2 per cell]
Ho1 0.500 0.500 0.500 [1 per cell]
In1 0.500 0.000 0.500 [1 per cell]
Cl1 0.218 0.000 0.864 [2 per cell]
Cl2 0.231 0.500 0.817 [2 per cell]
Cl3 0.270 0.288 0.325 [4 per cell]

Values from the calculation:
For the density of states at the Fermi level, the calculation gives 0.00 states/eV per cell. For the total energy, the calculation gives -4.2417 eV/atom. The calculation puts the total magnetization at 0.000 μB per atom.

Entry 2:
First-principles (PBE) data for a relaxed structure of CaHoInCl6, as listed in Alexandria via LeMat-Bulk.

a b c (Å): 7.0943 7.0943 13.7094
angles (deg): 90.00 90.00 120.00
Space group P-31c (No. 163)
Unique sites:
Ca1 0.3333 0.6667 0.2500 [2 per cell]
Ho1 0.3333 0.6667 0.7500 [2 per cell]
In1 0.0000 0.0000 0.0000 [2 per cell]
Cl1 0.0120 0.3768 0.6403 [12 per cell]

Values from the calculation:
For the density of states at the Fermi level, the calculation gives 0.00 states/eV per cell. For the total energy, the calculation gives -4.2850 eV/atom. The calculation puts the total magnetization at 0.000 μB per atom.

Entry 3:
First-principles (PBE) data for a relaxed structure of KCa2HoCl8, as listed in Alexandria via LeMat-Bulk.

a b c (Å): 6.365 8.646 6.613
angles (deg): 90.00 90.41 90.00
Space group P2/m (No. 10)
Unique sites:
K1 0.000 0.000 0.000 [1 per cell]
Ca1 0.500 0.248 0.500 [2 per cell]
Ho1 0.000 0.500 0.000 [1 per cell]
Cl1 0.232 0.285 0.172 [4 per cell]
Cl2 0.266 0.500 0.680 [2 per cell]
Cl3 0.280 0.000 0.636 [2 per cell]

Values from the calculation:
For the density of states at the Fermi level, the calculation gives 0.00 states/eV per cell. For the total energy, the calculation gives -4.3106 eV/atom. The calculation puts the total magnetization at 0.000 μB per atom.

Entry 4:
First-principles (PBE) data for a relaxed structure of KCaHoCl6, as listed in Alexandria via LeMat-Bulk.

a b c (Å): 7.0884 7.0884 13.5388
angles (deg): 90.00 90.00 120.00
Space group P-31c (No. 163)
Unique sites:
K1 0.0000 0.0000 0.0000 [2 per cell]
Ca1 0.3333 0.6667 0.2500 [2 per cell]
Ho1 0.3333 0.6667 0.7500 [2 per cell]
Cl1 0.0121 0.3753 0.6392 [12 per cell]

Values from the calculation:
For the density of states at the Fermi level, the calculation gives 0.00 states/eV per cell. For the total energy, the calculation gives -4.3740 eV/atom. The calculation puts the total magnetization at 0.000 μB per atom.

Entry 5:
First-principles (PBE) data for a relaxed structure of RbCaHoCl6, as listed in Alexandria via LeMat-Bulk.

a b c (Å): 7.1160 7.1160 14.2890
angles (deg): 90.00 90.00 120.00
Space group P-31c (No. 163)
Unique sites:
Rb1 0.0000 0.0000 0.0000 [2 per cell]
Ca1 0.3333 0.6667 0.2500 [2 per cell]
Ho1 0.3333 0.6667 0.7500 [2 per cell]
Cl1 0.0120 0.3805 0.6442 [12 per cell]

Values from the calculation:
For the density of states at the Fermi level, the calculation gives 0.00 states/eV per cell. For the total energy, the calculation gives -4.3664 eV/atom. The calculation puts the total magnetization at 0.000 μB per atom.

Entry 6:
First-principles (PBE) data for a relaxed structure of Ca2HoTlCl8, as listed in Alexandria via LeMat-Bulk.

a b c (Å): 6.401 8.718 6.642
angles (deg): 90.00 90.49 90.00
Space group P2/m (No. 10)
Unique sites:
Ca1 0.000 0.247 0.000 [2 per cell]
Ho1 0.500 0.500 0.500 [1 per cell]
Tl1 0.500 0.000 0.500 [1 per cell]
Cl1 0.219 0.000 0.869 [2 per cell]
Cl2 0.233 0.500 0.817 [2 per cell]
Cl3 0.267 0.290 0.326 [4 per cell]

Values from the calculation:
For the density of states at the Fermi level, the calculation gives 0.00 states/eV per cell. For the total energy, the calculation gives -4.2463 eV/atom. The calculation puts the total magnetization at 0.000 μB per atom.

Entry 7:
First-principles (PBE) data for a relaxed structure of CaI3Cl, as listed in Alexandria via LeMat-Bulk.

a b c (Å): 6.116 6.116 6.116
angles (deg): 90.00 90.00 90.00
Space group Pm-3m (No. 221)
Unique sites:
Ca1 0.000 0.000 0.000 [1 per cell]
I1 0.000 0.000 0.500 [3 per cell]
Cl1 0.500 0.500 0.500 [1 per cell]

Values from the calculation:
For the density of states at the Fermi level, the calculation gives 8.96 states/eV per cell. For the total energy, the calculation gives -2.2317 eV/atom. The value obtained for the energy above the most stable polymorph in this dataset is 0 meV/atom. The calculation puts the total magnetization at 0.400 μB per atom.

Entry 8:
First-principles (PBE) data for a relaxed structure of Ca2ICl, as listed in Alexandria via LeMat-Bulk.

a b c (Å): 6.806 6.806 13.808
angles (deg): 90.00 90.00 90.00
Space group I-42d (No. 122)
Unique sites:
Ca1 0.199 0.250 0.125 [8 per cell]
I1 0.000 0.000 0.500 [4 per cell]
Cl1 0.000 0.000 0.000 [4 per cell]

Values from the calculation:
For the density of states at the Fermi level, the calculation gives 5.77 states/eV per cell. For the total energy, the calculation gives -2.9687 eV/atom. The value obtained for the energy above the most stable polymorph in this dataset is 0 meV/atom. The calculation puts the total magnetization at 0.424 μB per atom.

no.,calculated volume (Å³ per cell)
1,369
2,598
3,364
4,589
5,627
6,371
7,229
8,640